DFT (GGA-PBE) results for a relaxed SrMgP2 crystal.

Properties
As for the formation enthalpy at 0 K: -0.370 eV/atom. The value obtained for the density of states at the Fermi level is 0.652 states/eV/atom. Its space group is P4mm, No. 99. Its final energy is -3.894 eV per atom.

POSCAR file:
```
SrMgP2
1.0
-0.086 -1.997 4.910
-1.803 -2.588 -1.084
4.460 -2.682 -1.013
Mg P Sr
1 2 1
direct
0.500 0.006 0.875
0.000 0.998 0.875
0.500 0.998 0.375
0.000 0.498 0.375
```